# PBE Er3MgCd, relaxed
data_Er3MgCd
_chemical_formula_sum 'Er12 Mg4 Cd4'
_cell_length_a 6.6688
_cell_length_b 6.6688
_cell_length_c 15.1093
_cell_angle_alpha 95.02
_cell_angle_beta 95.02
_cell_angle_gamma 56.95
_space_group_name_H-M_alt 'P 1'
_space_group_IT_number 1
loop_
_space_group_symop_operation_xyz
'x,y,z'
loop_
_atom_site_label
_atom_site_type_symbol
_atom_site_fract_x
_atom_site_fract_y
_atom_site_fract_z
_atom_site_occupancy
Er1 Er 0.0217 0.6240 0.2071 1
Er2 Er 0.0257 0.8542 0.8891 1
Er3 Er 0.1231 0.4894 0.5998 1
Er4 Er 0.1458 0.9743 0.6109 1
Er5 Er 0.3760 0.9783 0.2929 1
Er6 Er 0.4894 0.1231 0.0998 1
Er7 Er 0.5106 0.8769 0.9002 1
Er8 Er 0.6240 0.0217 0.7071 1
Er9 Er 0.8542 0.0257 0.3891 1
Er10 Er 0.8769 0.5106 0.4002 1
Er11 Er 0.9743 0.1458 0.1109 1
Er12 Er 0.9783 0.3760 0.7929 1
Mg1 Mg 0.3478 0.5417 0.4163 1
Mg2 Mg 0.4583 0.6522 0.0837 1
Mg3 Mg 0.5417 0.3478 0.9163 1
Mg4 Mg 0.6522 0.4583 0.5837 1
Cd1 Cd 0.0000 0.5000 0.0000 1
Cd2 Cd 0.4106 0.5894 0.7500 1
Cd3 Cd 0.5000 0.0000 0.5000 1
Cd4 Cd 0.5894 0.4106 0.2500 1
# D(E_F)	23.76	states/eV per cell
# symmetry	C2/c (15)
# E above lowest polymorph	0.132	eV/atom
# total energy	-3.25	eV per atom
# calculated formation energy	-0.0075	eV per atom